A geometry-optimized RbHg3Rh structure, computed with GGA-PBE.

Cell: 5.356 5.356 5.356 Å, 90.00 90.00 90.00°
Fractional coordinates of all 5 atoms:
Rb 0.500 0.500 0.500
Hg 0.500 0.000 0.000
Rh 0.000 0.000 0.000
Hg 0.000 0.500 0.000
Hg 0.000 0.000 0.500

Computed properties:
The total magnetic moment is 0.000 μB/cell. The calculation puts the formation energy at -0.9 eV per formula unit. As for the total energy: -10.10 eV for the cell shown. The value obtained for the relative energy among the computed polymorphs is 0 meV/atom.


A geometry-optimized RbHg2Rh2 structure, computed with GGA-PBE.

Cell: 4.169 4.169 7.446 Å, 73.74 73.74 90.00°
Last column: magnetic moment on the atom in μB.
Fractional coordinates of all 5 atoms:
Hg 0.386 0.386 0.228  -0.01
Hg 0.614 0.614 0.772  -0.01
Rb 0.000 0.000 0.000  -0.01
Rh 0.250 0.750 0.500  0.45
Rh 0.750 0.250 0.500  0.45

Computed properties:
The total magnetic moment is 0.830 μB/cell. The calculation puts the formation energy at 1.7 eV per formula unit. As for the total energy: -14.61 eV for the cell shown. The value obtained for the relative energy among the computed polymorphs is 112 meV/atom.


A geometry-optimized RbHg3Rh structure, computed with GGA-PBE.

Cell: 6.416 6.416 6.416 Å, 90.00 90.00 90.00°
Fractional coordinates of all 5 atoms:
Rb 0.000 0.000 0.000
Rh 0.500 0.500 0.500
Hg 0.500 0.000 0.000
Hg 0.000 0.000 0.500
Hg 0.000 0.500 0.000

Computed properties:
The total magnetic moment is 0.000 μB/cell. The calculation puts the formation energy at 5.7 eV per formula unit. As for the total energy: -3.49 eV for the cell shown. The value obtained for the relative energy among the computed polymorphs is 1322 meV/atom.


A geometry-optimized Rb2Hg2Rh structure, computed with GGA-PBE.

Cell: 7.481 7.481 5.831 Å, 90.00 90.00 90.00°
Fractional coordinates of all 10 atoms:
Rh 0.000 0.000 0.000
Rb 0.668 0.832 0.500
Rb 0.832 0.332 0.500
Hg 0.824 0.676 0.000
Rb 0.168 0.668 0.500
Rb 0.332 0.168 0.500
Hg 0.324 0.824 0.000
Hg 0.676 0.176 0.000
Hg 0.176 0.324 0.000
Rh 0.500 0.500 0.000

Computed properties:
The total magnetic moment is 0.000 μB/cell. The calculation puts the formation energy at 0.4 eV per formula unit. As for the total energy: -18.90 eV for the cell shown. The value obtained for the relative energy among the computed polymorphs is 0 meV/atom.


A geometry-optimized RbHg2Rh structure, computed with GGA-PBE.

Cell: 5.249 5.249 5.249 Å, 60.00 60.00 60.00°
Fractional coordinates of all 4 atoms:
Hg 0.750 0.750 0.750
Hg 0.250 0.250 0.250
Rb 0.000 0.000 0.000
Rh 0.500 0.500 0.500

Computed properties:
The total magnetic moment is 0.000 μB/cell. The calculation puts the formation energy at 1.7 eV per formula unit. As for the total energy: -7.26 eV for the cell shown. The value obtained for the relative energy among the computed polymorphs is 246 meV/atom.


A geometry-optimized RbHgRh3 structure, computed with GGA-PBE.

Cell: 4.855 4.855 4.855 Å, 90.00 90.00 90.00°
Last column: magnetic moment on the atom in μB.
Fractional coordinates of all 5 atoms:
Hg 0.500 0.500 0.500  -0.01
Rb 0.000 0.000 0.000  0.00
Rh 0.000 0.000 0.500  0.23
Rh 0.000 0.500 0.000  0.43
Rh 0.500 0.000 0.000  0.37

Computed properties:
The total magnetic moment is 0.997 μB/cell. The calculation puts the formation energy at 10.7 eV per formula unit. As for the total energy: -12.65 eV for the cell shown. The value obtained for the relative energy among the computed polymorphs is 826 meV/atom.